VASP calculation (PBE) on a geometry-optimized Er2UCo structure.

Values from the calculation:
Space-group type: R-3m
Uncorrected energy in eV/f.u.: -25.82
Calculated volume in Å³/cell: 91.2
DOS(E_F) in states/eV/f.u.: 6.52
Calculated formation energy in kcal/mol of atoms: 9.819

Cell lengths 10.4615, 10.4615, 10.4615 Å; angles 17.58, 17.58, 17.58 degrees
Positions (direct):
Er  0.1039  0.1039  0.1039
Er  0.8961  0.8961  0.8961
U  0.0000  0.0000  0.0000
Co  0.5000  0.5000  0.5000

***

VASP calculation (PBE) on a geometry-optimized ErU2Co9 structure.

Values from the calculation:
Space-group type: R-3m
Uncorrected energy in eV/f.u.: -93.33
Calculated volume in Å³/cell: 164.5
DOS(E_F) in states/eV/f.u.: 17.32
Calculated formation energy in kcal/mol of atoms: -4.310

Cell lengths 8.6018, 8.6018, 8.6018 Å; angles 32.62, 32.62, 32.62 degrees
Positions (direct):
Er  0.0000  0.0000  0.0000
U  0.1406  0.1406  0.1406
U  0.8594  0.8594  0.8594
Co  0.0835  0.5815  0.5815
Co  0.3326  0.3326  0.3326
Co  0.4185  0.4185  0.9165
Co  0.4185  0.9165  0.4185
Co  0.5000  0.5000  0.5000
Co  0.5815  0.0835  0.5815
Co  0.5815  0.5815  0.0835
Co  0.6674  0.6674  0.6674
Co  0.9165  0.4185  0.4185

***

VASP calculation (PBE) on a geometry-optimized Er2UCo3 structure.

Values from the calculation:
Space-group type: Pnnm
Uncorrected energy in eV/f.u.: -43.27
Calculated volume in Å³/cell: 217.3
DOS(E_F) in states/eV/f.u.: 5.00
Calculated formation energy in kcal/mol of atoms: -5.900

Cell lengths 5.0813, 10.7262, 3.9863 Å; angles 90.00, 90.00, 90.00 degrees
Positions (direct):
Er  0.1996  0.2034  0.0000
Er  0.3004  0.7034  0.5000
Er  0.6996  0.2966  0.5000
Er  0.8004  0.7966  0.0000
U  0.0000  0.5000  0.0000
U  0.5000  0.0000  0.5000
Co  0.0000  0.0000  0.5000
Co  0.2130  0.4198  0.5000
Co  0.2870  0.9198  0.0000
Co  0.5000  0.5000  0.0000
Co  0.7130  0.0802  0.0000
Co  0.7870  0.5802  0.5000

***

VASP calculation (PBE) on a geometry-optimized ErUCo2 structure.

Values from the calculation:
Space-group type: P4/mmm
Uncorrected energy in eV/f.u.: -30.60
Calculated volume in Å³/cell: 71.3
DOS(E_F) in states/eV/f.u.: 5.63
Calculated formation energy in kcal/mol of atoms: -3.124

Cell lengths 3.2651, 3.2651, 6.6868 Å; angles 90.00, 90.00, 90.00 degrees
Positions (direct):
Er  0.0000  0.0000  0.0000
U  0.0000  0.0000  0.5000
Co  0.5000  0.5000  0.2975
Co  0.5000  0.5000  0.7025

***

VASP calculation (PBE) on a geometry-optimized ErCo4W structure.

Values from the calculation:
Space-group type: F-43m
Uncorrected energy in eV/f.u.: -45.61
Calculated volume in Å³/cell: 80.0
DOS(E_F) in states/eV/f.u.: 8.51
Calculated formation energy in kcal/mol of atoms: 1.267

Cell lengths 4.8370, 4.8370, 4.8370 Å; angles 60.00, 60.00, 60.00 degrees
Positions (direct):
Er  0.0000  0.0000  0.0000
Co  0.3748  0.3748  0.3748
Co  0.3748  0.3748  0.8755
Co  0.3748  0.8755  0.3748
Co  0.8755  0.3748  0.3748
W  0.7500  0.7500  0.7500

***

VASP calculation (PBE) on a geometry-optimized YEr3Co8 structure.

Values from the calculation:
Space-group type: R3m
Uncorrected energy in eV/f.u.: -79.73
Calculated volume in Å³/cell: 182.0
DOS(E_F) in states/eV/f.u.: 15.00
Calculated formation energy in kcal/mol of atoms: -5.241

Cell lengths 8.7487, 8.7487, 8.7487 Å; angles 33.53, 33.53, 33.53 degrees
Positions (direct):
Y  0.0000  0.0000  0.0000
Er  0.1252  0.1252  0.1252
Er  0.5000  0.5000  0.5000
Er  0.6248  0.6248  0.6248
Co  0.0627  0.0627  0.5607
Co  0.0627  0.5607  0.0627
Co  0.0636  0.5627  0.5627
Co  0.3124  0.3124  0.3124
Co  0.5607  0.0627  0.0627
Co  0.5627  0.0636  0.5627
Co  0.5627  0.5627  0.0636
Co  0.8125  0.8125  0.8125

***

VASP calculation (PBE) on a geometry-optimized Y3Er4Co4 structure.

Values from the calculation:
Space-group type: Immm
Uncorrected energy in eV/f.u.: -67.30
Calculated volume in Å³/cell: 243.8
DOS(E_F) in states/eV/f.u.: 8.95
Calculated formation energy in kcal/mol of atoms: -2.578

Cell lengths 9.0460, 9.0460, 9.0460 Å; angles 156.92, 122.29, 62.99 degrees
Positions (direct):
Y  0.0000  0.0000  0.0000
Y  0.3956  0.8956  0.5000
Y  0.6044  0.1044  0.5000
Er  0.0198  0.3341  0.6857
Er  0.3516  0.6659  0.6857
Er  0.6484  0.3341  0.3143
Er  0.9802  0.6659  0.3143
Co  0.2484  0.2484  0.0000
Co  0.2870  0.5000  0.7870
Co  0.7130  0.5000  0.2130
Co  0.7516  0.7516  0.0000

***

VASP calculation (PBE) on a geometry-optimized YEr12Co5 structure.

Values from the calculation:
Space-group type: Immm
Uncorrected energy in eV/f.u.: -99.29
Calculated volume in Å³/cell: 437.6
DOS(E_F) in states/eV/f.u.: 16.18
Calculated formation energy in kcal/mol of atoms: -3.262

Cell lengths 8.2898, 8.2898, 8.2898 Å; angles 111.21, 110.76, 106.48 degrees
Positions (direct):
Y  0.0000  0.0000  0.0000
Er  0.1054  0.2968  0.8086
Er  0.1862  0.4982  0.3121
Er  0.1862  0.8741  0.6879
Er  0.3179  0.2097  0.5276
Er  0.3179  0.7903  0.1081
Er  0.4882  0.2968  0.1914
Er  0.5118  0.7032  0.8086
Er  0.6821  0.2097  0.8919
Er  0.6821  0.7903  0.4724
Er  0.8138  0.1259  0.3121
Er  0.8138  0.5018  0.6879
Er  0.8946  0.7032  0.1914
Co  0.1254  0.5000  0.6254
Co  0.3875  0.8875  0.5000
Co  0.5000  0.5000  0.0000
Co  0.6125  0.1125  0.5000
Co  0.8746  0.5000  0.3746

***

VASP calculation (PBE) on a geometry-optimized YEr4Co2 structure.

Values from the calculation:
Space-group type: P2_1/m
Uncorrected energy in eV/f.u.: -39.49
Calculated volume in Å³/cell: 338.8
DOS(E_F) in states/eV/f.u.: 7.80
Calculated formation energy in kcal/mol of atoms: -1.846

Cell lengths 7.5238, 6.2821, 7.7908 Å; angles 90.00, 113.06, 90.00 degrees
Positions (direct):
Y  0.0235  0.2500  0.1662
Y  0.9765  0.7500  0.8338
Er  0.2424  0.5015  0.5864
Er  0.2424  0.9985  0.5864
Er  0.3256  0.7500  0.2524
Er  0.3756  0.2500  0.0182
Er  0.6244  0.7500  0.9818
Er  0.6744  0.2500  0.7476
Er  0.7576  0.0015  0.4136
Er  0.7576  0.4985  0.4136
Co  0.0141  0.2500  0.7270
Co  0.4108  0.2500  0.3721
Co  0.5892  0.7500  0.6279
Co  0.9859  0.7500  0.2730

***

VASP calculation (PBE) on a geometry-optimized Y2Er3Co2 structure.

Values from the calculation:
Space-group type: C2/m
Uncorrected energy in eV/f.u.: -42.07
Calculated volume in Å³/cell: 171.2
DOS(E_F) in states/eV/f.u.: 7.00
Calculated formation energy in kcal/mol of atoms: -4.096

Cell lengths 6.2237, 6.2237, 8.7963 Å; angles 115.33, 115.33, 34.20 degrees
Positions (direct):
Y  0.1698  0.1698  0.3026
Y  0.8302  0.8302  0.6974
Er  0.3809  0.3809  0.0718
Er  0.5000  0.5000  0.5000
Er  0.6191  0.6191  0.9282
Co  0.1755  0.1755  0.7407
Co  0.8245  0.8245  0.2593

***

VASP calculation (PBE) on a geometry-optimized YEr2Co structure.

Values from the calculation:
Space-group type: Cmcm
Offset from the most stable computed form in meV per atom: 25.0
Uncorrected energy in eV/f.u.: -23.29
Calculated volume in Å³/cell: 202.0
DOS(E_F) in states/eV/f.u.: 5.11
Calculated formation energy in kcal/mol of atoms: -3.450

Cell lengths 6.2437, 6.2437, 9.2071 Å; angles 90.00, 90.00, 145.76 degrees
Positions (direct):
Y  0.0815  0.9185  0.7500
Y  0.9185  0.0815  0.2500
Er  0.3583  0.6417  0.5713
Er  0.3583  0.6417  0.9287
Er  0.6417  0.3583  0.0713
Er  0.6417  0.3583  0.4287
Co  0.2470  0.7530  0.2500
Co  0.7530  0.2470  0.7500

***

VASP calculation (PBE) on a geometry-optimized Y6ErCo3 structure.

Values from the calculation:
Space-group type: Cmc2_1
Uncorrected energy in eV/f.u.: -65.08
Calculated volume in Å³/cell: 511.9
DOS(E_F) in states/eV/f.u.: 9.58
Calculated formation energy in kcal/mol of atoms: -0.948

Cell lengths 8.4214, 8.4214, 7.2349 Å; angles 90.00, 90.00, 93.94 degrees
Positions (direct):
Y  0.0011  0.5013  0.5176
Y  0.0275  0.9725  0.5000
Y  0.2831  0.2838  0.2567
Y  0.2838  0.2831  0.7567
Y  0.3325  0.6675  0.7607
Y  0.4987  0.9989  0.5176
Y  0.5013  0.0011  0.0176
Y  0.6675  0.3325  0.2607
Y  0.7162  0.7169  0.2567
Y  0.7169  0.7162  0.7567
Y  0.9725  0.0275  0.0000
Y  0.9989  0.4987  0.0176
Er  0.3217  0.6783  0.2611
Er  0.6783  0.3217  0.7611
Co  0.0317  0.7544  0.7792
Co  0.2456  0.9683  0.7792
Co  0.4987  0.5013  0.5106
Co  0.5013  0.4987  0.0106
Co  0.7544  0.0317  0.2792
Co  0.9683  0.2456  0.2792

***

Number 12 is which compound?
Y6ErCo3

***

What is the DOS(E_F) in the tenth record?
7.00 states/eV/f.u.

***

calculated formation energy of number 4 (ErUCo2)?
-3.124 kcal/mol of atoms